No. 1
A relaxed structure of LaPb3N. Source: Alexandria via LeMat-Bulk, functional GGA-PBE.

The structure in POSCAR format:
```
LaPb3N
1.0
6.240 0.000 0.000
0.000 6.240 0.000
0.000 0.000 6.240
La Pb N
1 3 1
Direct
0.000 0.000 0.000
0.000 0.000 0.500
0.000 0.500 0.000
0.500 0.000 0.000
0.500 0.500 0.500
```

Summary:
Formation energy (no corrections) (meV per atom): 1546
Polymorph energy (0 for the lowest one) (meV per atom): 1297



No. 2
A relaxed structure of Hf3Ti5Co2. Source: Alexandria via LeMat-Bulk, functional GGA-PBE.

The structure in POSCAR format:
```
Hf3Ti5Co2
1.0
10.586 0.000 0.000
0.000 10.586 0.000
0.000 0.000 3.118
Hf Ti Co
6 10 4
Direct
0.000 0.000 0.000
0.176 0.324 0.000
0.324 0.824 0.000
0.500 0.500 0.000
0.676 0.176 0.000
0.824 0.676 0.000
0.000 0.500 0.500
0.065 0.784 0.500
0.216 0.065 0.500
0.284 0.565 0.500
0.435 0.284 0.500
0.500 0.000 0.500
0.565 0.716 0.500
0.716 0.435 0.500
0.784 0.935 0.500
0.935 0.216 0.500
0.124 0.624 0.000
0.376 0.124 0.000
0.624 0.876 0.000
0.876 0.376 0.000
```

Summary:
Formation energy from the elements (meV per atom): -104



No. 3
A relaxed structure of Tl6Bi3Sb. Source: Alexandria via LeMat-Bulk, functional GGA-PBE.

The structure in POSCAR format:
```
Tl6Bi3Sb
1.0
10.851 0.000 0.000
0.000 5.791 0.000
-1.317 0.000 11.370
Tl Bi Sb
12 6 2
Direct
0.052 0.250 0.089
0.102 0.250 0.505
0.155 0.750 0.703
0.311 0.250 0.310
0.431 0.250 0.618
0.440 0.750 0.084
0.560 0.250 0.916
0.569 0.750 0.382
0.689 0.750 0.690
0.845 0.250 0.297
0.898 0.750 0.495
0.948 0.750 0.911
0.116 0.250 0.807
0.172 0.750 0.214
0.439 0.750 0.803
0.561 0.250 0.197
0.828 0.250 0.786
0.884 0.750 0.193
0.286 0.750 0.471
0.714 0.250 0.529
```

Summary:
Formation energy (no corrections) (meV per atom): 52